A.
A plane-wave DFT calculation with GGA-PBE was carried out for a relaxed structure of PmGa2Pt.

Unit cell a=8.2390 b=6.7545 c=5.7085 alpha=90.00 beta=90.00 gamma=90.00
Space group Pnma (No. 62)
Unique sites:
Pm (0.0441, 0.2500, 0.1278) (multiplicity 4)
Ga (0.1812, 0.0545, 0.6186) (multiplicity 8)
Pt (0.0964, 0.7500, 0.3618) (multiplicity 4)

Computed properties:
DOS at the Fermi energy in states/eV per cell: 9.09

***

B.
A plane-wave DFT calculation with GGA-PBE was carried out for a relaxed structure of PmGa2Pt.

Unit cell a=6.7205 b=6.7205 c=6.7205 alpha=90.00 beta=90.00 gamma=90.00
Space group Fm-3m (No. 225)
Unique sites:
Pm (0.0000, 0.0000, 0.0000) (multiplicity 4)
Ga (0.2500, 0.2500, 0.2500) (multiplicity 8)
Pt (0.0000, 0.0000, 0.5000) (multiplicity 4)

Computed properties:
DOS at the Fermi energy in states/eV per cell: 11.39

***

Tell me which of them is the least stable. Sure, it is B.